No. 1
# LaZnP SCAN single point on PBEsol structure
# - DOS(E_F): 0.3 states/eV/f.u.
# - Magnetic moment: 0.0 μB/f.u.
# - Total energy: -70.0 eV per cell
# - ΔE_f: -1.002 eV/atom
data_LaZnP
_chemical_formula_sum 'La1 Zn1 P1'
_symmetry_space_group_name_H-M 'P 3 m 1'
_symmetry_Int_Tables_number 156
_cell_length_a 4.0661
_cell_length_b 4.0661
_cell_length_c 4.2519
_cell_angle_alpha 90.00
_cell_angle_beta 90.00
_cell_angle_gamma 120.00
loop_
_symmetry_equiv_pos_as_xyz
'x,y,z'
'-y,x-y,z'
'-x+y,-x,z'
'-y,-x,z'
'-x+y,y,z'
'x,x-y,z'
loop_
_atom_site_label
_atom_site_type_symbol
_atom_site_fract_x
_atom_site_fract_y
_atom_site_fract_z
_atom_site_occupancy
La1 La 0.0000 0.0000 0.0000 1
Zn1 Zn 0.6667 0.3333 0.5012 1
P1 P 0.3333 0.6667 0.4994 1

No. 2
# LaZnP SCAN single point on PBEsol structure
# - DOS(E_F): 2.6 states/eV/f.u.
# - Magnetic moment: 0.0 μB/f.u.
# - Total energy: -274.3 eV per cell
# - ΔE_f: -0.523 eV/atom
data_LaZnP
_chemical_formula_sum 'La4 Zn4 P4'
_symmetry_space_group_name_H-M 'F -4 3 m'
_symmetry_Int_Tables_number 216
_symmetry_space_group_name_Hall 'F -4 2 3'
_cell_length_a 6.541
_cell_length_b 6.541
_cell_length_c 6.541
_cell_angle_alpha 90.00
_cell_angle_beta 90.00
_cell_angle_gamma 90.00
loop_
_atom_site_label
_atom_site_type_symbol
_atom_site_fract_x
_atom_site_fract_y
_atom_site_fract_z
_atom_site_occupancy
La1 La 0.000 0.000 0.000 1
Zn1 Zn 0.000 0.000 0.500 1
P1 P 0.250 0.250 0.250 1

No. 3
# LaZnP SCAN single point on PBEsol structure
# - DOS(E_F): 1.5 states/eV/f.u.
# - Magnetic moment: 0.0 μB/f.u.
# - Total energy: -137.2 eV per cell
# - ΔE_f: -0.530 eV/atom
data_LaZnP
_chemical_formula_sum 'La2 Zn2 P2'
_symmetry_space_group_name_H-M 'I 4 m m'
_symmetry_Int_Tables_number 107
_symmetry_space_group_name_Hall 'I 4 -2'
_cell_length_a 3.513
_cell_length_b 3.513
_cell_length_c 10.010
_cell_angle_alpha 90.00
_cell_angle_beta 90.00
_cell_angle_gamma 90.00
loop_
_atom_site_label
_atom_site_type_symbol
_atom_site_fract_x
_atom_site_fract_y
_atom_site_fract_z
_atom_site_occupancy
La1 La 0.000 0.000 0.000 1
Zn1 Zn 0.000 0.000 0.299 1
P1 P 0.000 0.000 0.696 1

No. 4
# LaZnP3 SCAN single point on PBEsol structure
# - DOS(E_F): 4.8 states/eV/f.u.
# - Magnetic moment: 0.0 μB/f.u.
# - Total energy: -82.3 eV per cell
# - ΔE_f: 1.097 eV/atom
data_LaZnP3
_chemical_formula_sum 'La1 Zn1 P3'
_symmetry_space_group_name_H-M 'P m -3 m'
_symmetry_Int_Tables_number 221
_symmetry_space_group_name_Hall '-P 4 2 3'
_cell_length_a 5.338
_cell_length_b 5.338
_cell_length_c 5.338
_cell_angle_alpha 90.00
_cell_angle_beta 90.00
_cell_angle_gamma 90.00
loop_
_atom_site_label
_atom_site_type_symbol
_atom_site_fract_x
_atom_site_fract_y
_atom_site_fract_z
_atom_site_occupancy
La1 La 0.000 0.000 0.000 1
Zn1 Zn 0.500 0.500 0.500 1
P1 P 0.000 0.000 0.500 1

- What is the formula in the first record?
  LaZnP